First-principles (PBEsol) data for crystalline Y2HgBr at its relaxed geometry, as listed in Alexandria via LeMat-Bulk.

- Magnetic moment: 0.00 Bohr magnetons per cell
- DFT total energy: -0.344 Ry/atom
- D(E_F): 4.310 states/eV per cell
- ΔE to the lowest computed polymorph: 188 meV per atom
- Energy relative to the elements, uncorrected: -657.9 meV/atom
- Calculated volume: 24.4 Å³/atom

abc: 5.1671 5.1671 5.1671
angles: 60.00 60.00 60.00
Element x y z (fractional)
Y (0.2500, 0.2500, 0.2500)
Y (0.7500, 0.7500, 0.7500)
Hg (0.5000, 0.5000, 0.5000)
Br (0.0000, 0.0000, 0.0000)